Here is CoAsSe2 after structural relaxation from the Alexandria database. Energies are from GGA-PBE.

Cell: 4.621 4.621 3.197 Å, 90.00 90.00 90.00°
Sites, in units of the cell vectors:
Co1 0.000 0.000 0.000
As1 0.500 0.500 0.000
Se1 0.000 0.500 0.500
Se2 0.500 0.000 0.500

DFT total energy (eV per formula unit): -16.74
D(E_F) (states/eV/cell): 3.2